Here is an optimized crystal structure of SrCdCo2Te from the Alexandria database. Energies are from PBE.

Raw formation energy in meV/atom: 698
Crystal system: tetragonal

a = 4.8742 Å, b = 6.0985 Å, c = 4.8742 Å
α = 90.00°, β = 90.00°, γ = 90.00°
Closest atoms and distances in Å follow each position.
Element x y z (fractional)
1 Te 0.5000 0.5000 0.5000  4 Sr 3.45
2 Cd 0.0000 0.0000 0.0000  4 Co 2.44
3 Sr 0.0000 0.5000 0.0000  2 Cd 3.05
4 Co 0.5000 0.0000 0.0000  2 Cd 2.44
5 Co 0.0000 0.0000 0.5000  2 Cd 2.44

Here is an optimized crystal structure of SrTl2CdCo from the Alexandria database. Energies are from PBE.

Crystal system: tetragonal
Formation energy from the elements in kJ per mole of atoms: -2.67

a = 5.0872 Å, b = 5.0872 Å, c = 5.1285 Å
α = 90.00°, β = 90.00°, γ = 90.00°
Closest atoms and distances in Å follow each position.
Element x y z (fractional)
1 Tl 0.0000 0.5000 0.0000  2 Co 2.54
2 Tl 0.5000 0.0000 0.0000  2 Co 2.54
3 Co 0.0000 0.0000 0.0000  4 Tl 2.54, 2 Cd 2.56
4 Sr 0.5000 0.5000 0.5000  4 Cd 3.60, 8 Tl 3.61
5 Cd 0.0000 0.0000 0.5000  2 Co 2.56

Here is an optimized crystal structure of SrTlCd2Co from the Alexandria database. Energies are from PBE.

Crystal system: tetragonal
Formation energy from the elements in kJ per mole of atoms: -3.21

a = 5.0834 Å, b = 5.0834 Å, c = 5.0309 Å
α = 90.00°, β = 90.00°, γ = 90.00°
Closest atoms and distances in Å follow each position.
Element x y z (fractional)
1 Cd 0.0000 0.5000 0.0000  2 Co 2.54
2 Cd 0.5000 0.0000 0.0000  2 Co 2.54
3 Co 0.0000 0.0000 0.0000  2 Tl 2.52, 4 Cd 2.54
4 Sr 0.5000 0.5000 0.5000  8 Cd 3.58, 4 Tl 3.59
5 Tl 0.0000 0.0000 0.5000  2 Co 2.52